TaMnBeAl: optimized geometry, PBE-GGA.

Cell lengths 5.9208, 5.9208, 5.9208 Å; angles 90.00, 90.00, 90.00 degrees
With the nearest neighbours (Å) after each atom.
Space group F-43m (No. 216)
One atom of each set of equivalent atoms:
1 Ta 0.0000 0.0000 0.0000  4 Mn 2.56, 4 Be 2.56
2 Mn 0.2500 0.2500 0.7500  4 Ta 2.56, 4 Al 2.56
3 Be 0.2500 0.2500 0.2500  4 Ta 2.56, 4 Al 2.56
4 Al 0.0000 0.0000 0.5000  4 Be 2.56, 4 Mn 2.56

total DFT energy (no corrections): -7.27 eV per atom
size of the total moment: 0.740 μB/f.u.
calculated formation energy: -151 meV per atom

---

HfTlCr2: optimized geometry, PBE-GGA.

Cell lengths 7.4558, 7.4558, 5.9157 Å; angles 90.00, 90.00, 90.00 degrees
With the nearest neighbours (Å) after each atom.
Space group I-42d (No. 122)
One atom of each set of equivalent atoms:
1 Hf 0.0000 0.0000 0.0000  4 Cr 2.71, 2 Tl 2.96
2 Tl 0.0000 0.0000 0.5000  4 Cr 2.76, 2 Hf 2.96
3 Cr 0.2454 0.7500 0.1250  2 Hf 2.71, 2 Tl 2.76, 2 Cr 2.96

relative energy among the computed polymorphs: 0.4912 eV per atom
total DFT energy (no corrections): -6.96 eV per atom
size of the total moment: 6.864 μB/f.u.
calculated formation energy: 935 meV per atom

---

Li3AlSn: optimized geometry, PBE-GGA.

Cell lengths 5.1031, 5.1031, 5.1031 Å; angles 90.00, 90.00, 90.00 degrees
With the nearest neighbours (Å) after each atom.
Space group Pm-3m (No. 221)
One atom of each set of equivalent atoms:
1 Li 0.0000 0.0000 0.5000  2 Sn 2.55
2 Al 0.5000 0.5000 0.5000  12 Li 3.61
3 Sn 0.0000 0.0000 0.0000  6 Li 2.55

relative energy among the computed polymorphs: 0.4851 eV per atom
total DFT energy (no corrections): -2.44 eV per atom
size of the total moment: 0.000 μB/f.u.
calculated formation energy: 256 meV per atom

---

LiPrInSn: optimized geometry, PBE-GGA.

Cell lengths 4.6028, 4.6145, 4.7839 Å; angles 90.00, 90.00, 90.00 degrees
With the nearest neighbours (Å) after each atom.
Space group Pmmm (No. 47)
One atom of each set of equivalent atoms:
1 Li 0.0000 0.0000 0.0000  4 In 3.26, 4 Sn 3.32, 4 Pr 3.32
2 Pr 0.0000 0.5000 0.5000  4 Sn 3.26, 4 In 3.32, 4 Li 3.32
3 In 0.5000 0.5000 0.0000  4 Li 3.26, 4 Pr 3.32, 4 Sn 3.32
4 Sn 0.5000 0.0000 0.5000  4 Pr 3.26, 4 Li 3.32, 4 In 3.32

relative energy among the computed polymorphs: 0.0000 eV per atom
total DFT energy (no corrections): -3.87 eV per atom
size of the total moment: 0.000 μB/f.u.
calculated formation energy: -511 meV per atom

---

AcEuTlAg: optimized geometry, PBE-GGA.

Cell lengths 7.9626, 7.9626, 7.9626 Å; angles 90.00, 90.00, 90.00 degrees
With the nearest neighbours (Å) after each atom.
Space group F-43m (No. 216)
One atom of each set of equivalent atoms:
1 Ac 0.0000 0.0000 0.0000  4 Ag 3.45, 4 Tl 3.45
2 Eu 0.0000 0.0000 0.5000  4 Tl 3.45, 4 Ag 3.45
3 Tl 0.2500 0.2500 0.7500  4 Ac 3.45, 4 Eu 3.45
4 Ag 0.2500 0.2500 0.2500  4 Ac 3.45, 4 Eu 3.45

total DFT energy (no corrections): -5.24 eV per atom
size of the total moment: 7.019 μB/f.u.
calculated formation energy: -336 meV per atom

---

Cu2SiTe: optimized geometry, PBE-GGA.

Cell lengths 7.4418, 4.0201, 5.0771 Å; angles 90.00, 91.93, 90.00 degrees
With the nearest neighbours (Å) after each atom.
Space group Cm (No. 8)
One atom of each set of equivalent atoms:
1 Cu 0.0000 0.0000 0.0000  3 Si 2.35-2.51, 3 Cu 2.56-2.57
2 Cu 0.1817 0.5000 0.1781  3 Si 2.49-2.68, 3 Cu 2.56-2.57, 2 Te 2.69
3 Si 0.3373 0.0000 0.0078  5 Cu 2.35-2.51
4 Te 0.1660 0.0000 0.5298  4 Cu 2.69-2.92, 2 Si 2.70-2.98

relative energy among the computed polymorphs: 0.0000 eV per atom
total DFT energy (no corrections): -4.12 eV per atom
size of the total moment: 0.000 μB/f.u.
ΔE_f (raw): 64 meV/atom